#1
10
Lattice="7.5831 0.0000 0.0000 0.0000 7.5831 0.0000 0.0000 0.0000 2.8809" Properties=species:S:1:pos:R:3 comment="InMo2Ru2, optimized geometry, DFT PBE" magmom_total_mub_per_cell=0.0 pbc="T T T"
Ru 6.6106 4.7640 0.0000
Ru 4.7640 0.9724 0.0000
Ru 2.8191 6.6106 0.0000
Ru 0.9724 2.8191 0.0000
Mo 2.5651 1.2264 1.4404
Mo 6.3566 2.5651 1.4404
Mo 5.0180 6.3566 1.4404
Mo 1.2264 5.0180 1.4404
In 0.0000 0.0000 0.0000
In 3.7915 3.7915 0.0000

#2
5
Lattice="4.0296 0.0000 0.0000 0.0000 4.0296 0.0000 2.0148 2.0148 5.5709" Properties=species:S:1:pos:R:3 comment="InMo2Ru2, optimized geometry, DFT PBE" magmom_total_mub_per_cell=0.0 pbc="T T T"
Mo 4.0296 2.0148 2.7854
Mo 2.0148 4.0296 2.7854
Ru 2.0148 2.0148 1.2195
Ru 4.0296 4.0296 4.3514
In 0.0000 0.0000 0.0000

#3
10
Lattice="-2.8858 1.1028 -7.0204 5.9991 -3.6838 -3.0447 -1.4157 -2.4663 0.1945" Properties=species:S:1:pos:R:3 comment="InMo2Ru2, optimized geometry, DFT PBE" magmom_total_mub_per_cell=0.0 pbc="T T T"
Ru -1.1089 -1.5456 -6.7813
Ru -0.6818 -1.4732 -2.7556
Ru 2.8064 -3.5018 -3.0892
Ru 2.3794 -3.5742 -7.1149
Mo -1.0629 0.2364 -4.7386
Mo 4.1762 -2.8174 -5.3264
Mo 1.9151 -1.2577 -2.0076
Mo 1.1981 -1.3233 -8.0575
In 0.0000 0.0000 0.0000
In 1.5566 -1.2905 -5.0325

Short version: #2 is the least stable of them.

#1
10
Lattice="-4.9446 1.4179 -3.5271 -2.4791 -5.5897 1.2284 -2.2307 1.8391 3.8666" Properties=species:S:1:pos:R:3 comment="In2Mo2S, optimized geometry, DFT PBE" magmom_total_mub_per_cell=0.0 pbc="T T T"
S 0.0000 0.0000 0.0000
S -3.7118 -2.0859 -1.1493
Mo -3.8574 -4.2660 -0.1964
Mo -1.6029 -1.7622 -0.0866
Mo -3.5663 0.0942 -2.1023
Mo -5.8208 -2.4096 -2.2121
In -6.0500 0.2447 -0.5927
In -3.1727 0.4490 0.9702
In -6.4817 -2.7818 0.5978
In -3.6044 -2.5775 2.1606

#2
5
Lattice="3.8212 0.0000 0.0000 0.0000 3.8212 0.0000 1.9106 1.9106 6.8859" Properties=species:S:1:pos:R:3 comment="In2Mo2S, optimized geometry, DFT PBE" magmom_total_mub_per_cell=1.2 pbc="T T T"
Mo 3.8212 3.8212 5.7092
Mo 1.9106 1.9106 1.1767
S 0.0000 0.0000 0.0000
In 1.9106 3.8212 3.4430
In 3.8212 1.9106 3.4430

Short version: #2 is the least stable of them.